First-principles (GGA+U) data for an optimized crystal structure of SmZn3Cr4O12, as listed in Alexandria via LeMat-Bulk.

a b c (Å): 7.455 7.455 7.455
angles (deg): 90.00 90.00 90.00
Space group Im-3 (No. 204)
Unique sites:
Sm1 0.000 0.000 0.000 x2
Zn1 0.000 0.000 0.500 x6
Cr1 0.250 0.250 0.250 x8
O1 0.000 0.296 0.183 x24

The raw total energy comes out at -6.6693 eV/atom.